AlSiTe4: optimized geometry, PBEsol.

The space group is F-43m (No. 216) and the conventional cell measures 8.784, 8.784 and 8.784 Å, with angles of 90.00, 90.00 and 90.00 degrees. The distinct sites, in fractional coordinates, are Al at (0.000, 0.000, 0.000), Si at (0.250, 0.250, 0.250) and Te at (0.125, 0.125, 0.625).

Its total energy is -0.2387 Ry per atom. As for the uncorrected formation energy: 0.743 eV/atom.